This record from the Alexandria database describes a geometry-optimized CsK2Dy structure. The functional is GGA-PBE.

Summary:
size of the total moment = 0.837 μB/cell
ΔE_f = 0.527 eV per atom
E = -1.3856 eV/atom
ρ = 2.7 Mg/m³
SG = R-3m, No. 166

```
4
Lattice="4.009 0.000 0.000 2.004 3.472 0.000 2.004 1.157 16.354" Properties=species:S:1:pos:R:3 pbc="T T T"
K 2.004 1.157 12.577
Cs 4.009 2.314 8.177
K 6.013 3.472 3.777
Dy 0.000 0.000 0.000
```